[1]
Density functional theory data (PBE) for an optimized crystal structure of PmMo2.

Symmetry = Fd-3m, No. 227
Uncorrected energy = -4.846 eV/atom
Total magnetic moment = 18.0 μB per cell
E above lowest polymorph = 3.745 eV/atom
Formation enthalpy at 0 K = 3.97 eV per atom

Geometry as POSCAR:
```
PmMo2
1.0
0.0000 6.6380 6.6380
6.6380 0.0000 6.6380
6.6380 6.6380 0.0000
Pm Mo
2 4
direct
0.1250 0.1250 0.1250 Pm
0.8750 0.8750 0.8750 Pm
0.0000 0.0000 0.0000 Mo
0.0000 0.0000 0.5000 Mo
0.0000 0.5000 0.0000 Mo
0.5000 0.0000 0.0000 Mo
```



[2]
Density functional theory data (PBE) for an optimized crystal structure of RbHg3Te4W.

Symmetry = P-43m, No. 215
Uncorrected energy = -3.036 eV/atom
Total magnetic moment = 0.0 μB per cell

Geometry as POSCAR:
```
RbHg3Te4W
1.0
7.6094 0.0000 0.0000
0.0000 7.6094 0.0000
0.0000 0.0000 7.6094
Rb Hg Te W
1 3 4 1
direct
0.0000 0.0000 0.0000 Rb
0.0000 0.5000 0.5000 Hg
0.5000 0.0000 0.5000 Hg
0.5000 0.5000 0.0000 Hg
0.3055 0.3055 0.3055 Te
0.3055 0.6945 0.6945 Te
0.6945 0.3055 0.6945 Te
0.6945 0.6945 0.3055 Te
0.5000 0.5000 0.5000 W
```



[3]
Density functional theory data (PBE) for an optimized crystal structure of Pr2Th.

Symmetry = Fd-3m, No. 227
Uncorrected energy = -3.566 eV/atom
Total magnetic moment = 0.1 μB per cell
Formation enthalpy at 0 K = 2.09 eV per atom

Geometry as POSCAR:
```
Pr2Th
1.0
0.0000 6.8488 6.8488
6.8488 0.0000 6.8488
6.8488 6.8488 0.0000
Pr Th
4 2
direct
0.0000 0.0000 0.0000 Pr
0.0000 0.0000 0.5000 Pr
0.0000 0.5000 0.0000 Pr
0.5000 0.0000 0.0000 Pr
0.1250 0.1250 0.1250 Th
0.8750 0.8750 0.8750 Th
```



[4]
Density functional theory data (PBE) for an optimized crystal structure of Tm3Mg3In2Au.

Symmetry = P-62m, No. 189
Uncorrected energy = -3.458 eV/atom
Total magnetic moment = 0.0 μB per cell

Geometry as POSCAR:
```
Tm3Mg3In2Au
1.0
7.4582 0.0000 0.0000
-3.7291 6.4590 0.0000
0.0000 0.0000 4.4631
Tm Mg In Au
3 3 2 1
direct
0.0000 0.4088 0.0000 Tm
0.4088 0.0000 0.0000 Tm
0.5912 0.5912 0.0000 Tm
0.0000 0.7630 0.5000 Mg
0.2370 0.2370 0.5000 Mg
0.7630 0.0000 0.5000 Mg
0.3333 0.6667 0.5000 In
0.6667 0.3333 0.5000 In
0.0000 0.0000 0.0000 Au
```



[5]
Density functional theory data (PBE) for an optimized crystal structure of BeFeGePb.

Symmetry = F-43m, No. 216
Uncorrected energy = -4.381 eV/atom
Total magnetic moment = 1.8 μB per cell
E above lowest polymorph = 0.000 eV/atom

Geometry as POSCAR:
```
BeFeGePb
1.0
0.0000 3.1821 3.1821
3.1821 0.0000 3.1821
3.1821 3.1821 0.0000
Be Fe Ge Pb
1 1 1 1
direct
0.0000 0.0000 0.0000 Be
0.5000 0.5000 0.5000 Fe
0.7500 0.7500 0.7500 Ge
0.2500 0.2500 0.2500 Pb
```



[6]
Density functional theory data (PBE) for an optimized crystal structure of Lu2FeTe.

Symmetry = F-43m, No. 216
Uncorrected energy = -4.951 eV/atom
Total magnetic moment = 1.2 μB per cell

Geometry as POSCAR:
```
Lu2FeTe
1.0
0.0000 3.5044 3.5044
3.5044 0.0000 3.5044
3.5044 3.5044 0.0000
Lu Fe Te
2 1 1
direct
0.0000 0.0000 0.0000 Lu
0.2500 0.2500 0.2500 Lu
0.7500 0.7500 0.7500 Fe
0.5000 0.5000 0.5000 Te
```



[7]
Density functional theory data (PBE) for an optimized crystal structure of LiTmBeSe3.

Symmetry = Cmcm, No. 63
Uncorrected energy = -4.734 eV/atom
Total magnetic moment = 0.0 μB per cell

Geometry as POSCAR:
```
LiTmBeSe3
1.0
1.9149 -6.4742 0.0000
1.9149 6.4742 0.0000
0.0000 0.0000 10.6997
Li Tm Be Se
2 2 2 6
direct
0.2167 0.7833 0.7500 Li
0.7833 0.2167 0.2500 Li
0.0000 0.0000 0.0000 Tm
0.0000 0.0000 0.5000 Tm
0.4712 0.5288 0.2500 Be
0.5288 0.4712 0.7500 Be
0.0783 0.9217 0.2500 Se
0.3617 0.6383 0.0864 Se
0.3617 0.6383 0.4136 Se
0.6383 0.3617 0.5864 Se
0.6383 0.3617 0.9136 Se
0.9217 0.0783 0.7500 Se
```



[8]
Density functional theory data (PBE) for an optimized crystal structure of SrCoB.

Symmetry = F-43m, No. 216
Uncorrected energy = -4.012 eV/atom
Total magnetic moment = 0.0 μB per cell
E above lowest polymorph = 0.138 eV/atom

Geometry as POSCAR:
```
SrCoB
1.0
0.0000 2.9996 2.9996
2.9996 0.0000 2.9996
2.9996 2.9996 0.0000
Sr Co B
1 1 1
direct
0.0000 0.0000 0.0000 Sr
0.7500 0.7500 0.7500 Co
0.5000 0.5000 0.5000 B
```



Question: Which of these has the highest total magnetic moment?
Answer: PmMo2



Question: The lowest uncorrected energy belongs to which entry?
Answer: Lu2FeTe



Question: uncorrected energy of number 5 (BeFeGePb)?
Answer: -4.381 eV/atom